Entry 1:
# GGA-PBE Mn2GaCo, optimized geometry
# Total magnetization: 3.9 μB/cell
# DFT formation energy: 15 meV/atom
# DOS(E_F): 3.9 states/eV/cell
# Crystal system: tetragonal
# Calculated density: 8.3 g/cm3
data_Mn2GaCo
_space_group_name_H-M_alt 'P 4/m m m'
_space_group_IT_number 123
_space_group_name_Hall '-P 4 2'
_cell_length_a 2.590
_cell_length_b 2.590
_cell_length_c 7.128
_cell_angle_alpha 90.00
_cell_angle_beta 90.00
_cell_angle_gamma 90.00
loop_
_atom_site_label
_atom_site_type_symbol
_atom_site_fract_x
_atom_site_fract_y
_atom_site_fract_z
Mn1 Mn 0.000 0.000 0.232
Ga1 Ga 0.500 0.500 0.500
Co1 Co 0.500 0.500 0.000

Entry 2:
# GGA-PBE MnGaCo6, optimized geometry
# Total magnetization: 4.1 μB/cell
# DFT formation energy: -4 meV/atom
# DOS(E_F): 11.0 states/eV/cell
# Crystal system: hexagonal
# Calculated density: 8.9 g/cm3
data_MnGaCo6
_space_group_name_H-M_alt 'P -6 m 2'
_space_group_IT_number 187
_space_group_name_Hall 'P -6 2'
_cell_length_a 5.0390
_cell_length_b 5.0390
_cell_length_c 4.0712
_cell_angle_alpha 90.00
_cell_angle_beta 90.00
_cell_angle_gamma 120.00
loop_
_atom_site_label
_atom_site_type_symbol
_atom_site_fract_x
_atom_site_fract_y
_atom_site_fract_z
Mn1 Mn 0.0000 0.0000 0.0000
Ga1 Ga 0.6667 0.3333 0.5000
Co1 Co 0.0049 0.5024 0.0000
Co2 Co 0.1672 0.3343 0.5000

Entry 3:
# GGA-PBE MnGaCo5, optimized geometry
# Total magnetization: 42.6 μB/cell
# DFT formation energy: 90 meV/atom
# DOS(E_F): 31.2 states/eV/cell
# Crystal system: monoclinic
# Calculated density: 8.3 g/cm3
data_MnGaCo5
_space_group_name_H-M_alt 'C 1 2/c 1'
_space_group_IT_number 15
_space_group_name_Hall '-C 2yc'
_cell_length_a 5.647
_cell_length_b 6.802
_cell_length_c 9.073
_cell_angle_alpha 90.00
_cell_angle_beta 105.68
_cell_angle_gamma 90.00
loop_
_atom_site_label
_atom_site_type_symbol
_atom_site_fract_x
_atom_site_fract_y
_atom_site_fract_z
Mn1 Mn 0.000 0.202 0.250
Ga1 Ga 0.250 0.250 0.000
Co1 Co 0.000 0.162 0.750
Co2 Co 0.099 0.471 0.642
Co3 Co 0.186 0.104 0.556

Entry 4:
# GGA-PBE MnGa2Co, optimized geometry
# Total magnetization: 11.4 μB/cell
# DFT formation energy: -28 meV/atom
# DOS(E_F): 6.8 states/eV/cell
# Crystal system: trigonal
# Calculated density: 7.2 g/cm3
data_MnGa2Co
_space_group_name_H-M_alt 'R 3 m'
_space_group_IT_number 160
_space_group_name_Hall 'R 3 -2"'
_cell_length_a 4.0342
_cell_length_b 4.0342
_cell_length_c 12.4174
_cell_angle_alpha 90.00
_cell_angle_beta 90.00
_cell_angle_gamma 120.00
loop_
_atom_site_label
_atom_site_type_symbol
_atom_site_fract_x
_atom_site_fract_y
_atom_site_fract_z
Mn1 Mn 0.0000 0.0000 0.0000
Ga1 Ga 0.0000 0.0000 0.5708
Ga2 Ga 0.0000 0.0000 0.7830
Co1 Co 0.0000 0.0000 0.2032

Entry 5:
# GGA-PBE Mn2GaCo, optimized geometry
# Total magnetization: 5.8 μB/cell
# DFT formation energy: -46 meV/atom
# DOS(E_F): 4.9 states/eV/cell
# Crystal system: tetragonal
# Calculated density: 8.1 g/cm3
data_Mn2GaCo
_space_group_name_H-M_alt 'P 4/m m m'
_space_group_IT_number 123
_space_group_name_Hall '-P 4 2'
_cell_length_a 3.682
_cell_length_b 3.682
_cell_length_c 3.604
_cell_angle_alpha 90.00
_cell_angle_beta 90.00
_cell_angle_gamma 90.00
loop_
_atom_site_label
_atom_site_type_symbol
_atom_site_fract_x
_atom_site_fract_y
_atom_site_fract_z
Mn1 Mn 0.000 0.500 0.000
Ga1 Ga 0.000 0.000 0.500
Co1 Co 0.500 0.500 0.500

Entry 6:
# GGA-PBE MnGa4Co3, optimized geometry
# Total magnetization: 2.3 μB/cell
# DFT formation energy: -239 meV/atom
# DOS(E_F): 3.2 states/eV/cell
# Crystal system: tetragonal
# Calculated density: 8.6 g/cm3
data_MnGa4Co3
_space_group_name_H-M_alt 'P 4/m m m'
_space_group_IT_number 123
_space_group_name_Hall '-P 4 2'
_cell_length_a 2.824
_cell_length_b 2.824
_cell_length_c 12.364
_cell_angle_alpha 90.00
_cell_angle_beta 90.00
_cell_angle_gamma 90.00
loop_
_atom_site_label
_atom_site_type_symbol
_atom_site_fract_x
_atom_site_fract_y
_atom_site_fract_z
Mn1 Mn 0.000 0.000 0.000
Ga1 Ga 0.500 0.500 0.138
Ga2 Ga 0.500 0.500 0.379
Co1 Co 0.000 0.000 0.260
Co2 Co 0.000 0.000 0.500

Entry 7:
# GGA-PBE MnGa2Co, optimized geometry
# Total magnetization: 7.3 μB/cell
# DFT formation energy: -99 meV/atom
# DOS(E_F): 22.4 states/eV/cell
# Crystal system: cubic
# Calculated density: 8.2 g/cm3
data_MnGa2Co
_space_group_name_H-M_alt 'F m -3 m'
_space_group_IT_number 225
_space_group_name_Hall '-F 4 2 3'
_cell_length_a 5.895
_cell_length_b 5.895
_cell_length_c 5.895
_cell_angle_alpha 90.00
_cell_angle_beta 90.00
_cell_angle_gamma 90.00
loop_
_atom_site_label
_atom_site_type_symbol
_atom_site_fract_x
_atom_site_fract_y
_atom_site_fract_z
Mn1 Mn 0.000 0.000 0.000
Ga1 Ga 0.250 0.250 0.250
Co1 Co 0.000 0.000 0.500

Entry 8:
# GGA-PBE Mn2GaCo, optimized geometry
# Total magnetization: 30.3 μB/cell
# DFT formation energy: 399 meV/atom
# DOS(E_F): 15.0 states/eV/cell
# Crystal system: tetragonal
# Calculated density: 7.0 g/cm3
data_Mn2GaCo
_space_group_name_H-M_alt 'I -4 2 d'
_space_group_IT_number 122
_space_group_name_Hall 'I -4 2bw'
_cell_length_a 6.702
_cell_length_b 6.702
_cell_length_c 5.015
_cell_angle_alpha 90.00
_cell_angle_beta 90.00
_cell_angle_gamma 90.00
loop_
_atom_site_label
_atom_site_type_symbol
_atom_site_fract_x
_atom_site_fract_y
_atom_site_fract_z
Mn1 Mn 0.226 0.250 0.125
Ga1 Ga 0.000 0.000 0.500
Co1 Co 0.000 0.000 0.000